Compound: Li2AgPt
Source: Alexandria
Functional: meta-GGA SCAN
Structure: single point on PBEsol structure Values from VASP.

```
&SYSTEM
  ibrav = 0, nat = 4, ntyp = 3
/
ATOMIC_SPECIES
Pt 195.08 Pt.upf
Ag 107.87 Ag.upf
Li 6.94 Li.upf
CELL_PARAMETERS angstrom
2.780 0.000 0.000
0.000 4.544 -0.054
-1.390 -1.811 4.510
ATOMIC_POSITIONS angstrom
Pt 0.000 0.081 4.473
Ag 0.000 2.871 2.191
Li 1.390 2.385 4.423
Li 1.390 0.590 2.311
```

- Formation energy from the elements: -0.401 eV/atom
- ρ: 9.3 Mg/m³
- Symmetry: Cm, No. 8
- Calculated volume: 56.7 Å³ per cell